First-principles (PBE-GGA) data for an optimized crystal structure of BaTl2Cu, as listed in Alexandria via LeMat-Bulk.

Computed properties:
calculated formation energy = 3 kJ per mole of atoms
crystal system = tetragonal
density of states at the Fermi level = 0.761 states/eV per atom
V = 35.4 Å³ per atom

Unit cell a=10.0574 b=10.0574 c=10.0574 alpha=148.11 beta=148.11 gamma=45.72
Fractional coordinates of all 8 atoms:
Ba 0.0000 0.0000 0.0000
Ba 0.7500 0.2500 0.5000
Tl 0.2778 0.6250 0.1528
Tl 0.3750 0.5278 0.6528
Tl 0.4722 0.1250 0.8472
Tl 0.8750 0.7222 0.3472
Cu 0.2500 0.7500 0.5000
Cu 0.5000 0.5000 0.0000